Compound: DyErAg2Te4
Source: the Open Quantum Materials Database
Functional: PBE
Structure: relaxed

Lattice parameters (Å, degrees): 7.0966 7.0966 4.7028 90.00 90.00 90.22
Last column: nearest neighbours and their distance in Å.
Element x y z (fractional)
Dy 0.0000 0.0000 0.0000  6 Te 3.04-3.16
Er 0.5000 0.5000 0.3897  6 Te 3.02-3.14
Ag 0.0000 0.5000 0.1942  4 Te 2.89-2.90
Ag 0.5000 0.0000 0.1942  4 Te 2.89-2.90
Te 0.2027 0.7973 0.4858  2 Ag 2.89, 1 Er 3.02, 2 Dy 3.06-3.16
Te 0.2998 0.2998 0.9047  2 Ag 2.90, 1 Dy 3.04, 2 Er 3.04-3.14
Te 0.7002 0.7002 0.9047  2 Ag 2.90, 1 Dy 3.04, 2 Er 3.04-3.14
Te 0.7973 0.2027 0.4858  2 Ag 2.89, 1 Er 3.02, 2 Dy 3.06-3.16

Output
Uncorrected energy, eV per atom: -4.33
Total moment, μB/atom: 0.00